Material: CrInO2F
Method: DFT, PBE+U
State: relaxed

It has space group P4/mmm (No. 123), with a = 4.081 Å, b = 4.081 Å, c = 3.946 Å, α = 90.00°, β = 90.00° and γ = 90.00°. The inequivalent atoms are Cr at (0.000, 0.000, 0.000), In at (0.500, 0.500, 0.500), O at (0.000, 0.500, 0.000) and F at (0.000, 0.000, 0.500).

The total energy comes out at -29.60 eV per cell. The calculated density is 5505 kg/m3.